# 1
SmDy3In4 | PBE | relaxed

```
SmDy3In4
1.0
5.3459 0.0000 0.0000
0.0000 5.3459 0.0000
0.0000 0.0000 7.5264
Sm Dy In
1 3 4
direct
0.0000 0.0000 0.0000
0.0000 0.0000 0.5000
0.5000 0.5000 0.0000
0.5000 0.5000 0.5000
0.0000 0.5000 0.2538
0.0000 0.5000 0.7462
0.5000 0.0000 0.2538
0.5000 0.0000 0.7462
```

Calculated values
* distance to the lowest polymorph of the same formula: 0 kJ/mol of formula units



# 2
Sm2Dy5In | PBE | relaxed

```
Sm2Dy5In
1.0
-2.4554 2.4554 10.1374
2.4554 -2.4554 10.1374
2.4554 2.4554 -10.1374
Sm Dy In
2 5 1
direct
0.2454 0.2454 0.0000
0.7546 0.7546 0.0000
0.0000 0.0000 0.0000
0.1200 0.6200 0.5000
0.3800 0.8800 0.5000
0.6200 0.1200 0.5000
0.8800 0.3800 0.5000
0.5000 0.5000 0.0000
```

Calculated values
* distance to the lowest polymorph of the same formula: 0 kJ/mol of formula units



Results for formation enthalpy at 0 K: -472 -108 (in meV per atom, following the order of the records).